The following is a DFT calculation (PBE) of a geometry-optimized EuYGaPd structure.

CIF file:
```
data_EuYGaPd
_space_group_name_H-M_alt 'P 1'
_space_group_IT_number 1
_cell_length_a 5.1170
_cell_length_b 5.1170
_cell_length_c 5.1170
_cell_angle_alpha 60.00
_cell_angle_beta 60.00
_cell_angle_gamma 60.00
loop_
_space_group_symop_operation_xyz
'x,y,z'
loop_
_atom_site_label
_atom_site_fract_x
_atom_site_fract_y
_atom_site_fract_z
_atom_site_occupancy
Y1 0.7500 0.7500 0.7500 1
Eu1 0.2500 0.2500 0.2500 1
Pd1 0.0000 0.0000 0.0000 1
Ga1 0.5000 0.5000 0.5000 1
```

Energy of formation (kcal/mol of atoms): -13.44
Symmetry: F-43m, No. 216